Here is crystalline TiCrReRu at its relaxed geometry from Alexandria via LeMat-Bulk. Energies are from PBE.

Symmetry: No. 216
ΔE_f, eV/atom: -0.20

Unit cell a=4.300 b=4.300 c=4.300 alpha=60.00 beta=60.00 gamma=60.00
Last column: magnetic moment on the atom in μB.
Fractional coordinates of all 4 atoms:
Ru (0.500, 0.500, 0.500)  0.07
Re (0.000, 0.000, 0.000)  -0.18
Cr (0.750, 0.750, 0.750)  0.91
Ti (0.250, 0.250, 0.250)  0.02

Here is crystalline Pr3Au at its relaxed geometry from Alexandria via LeMat-Bulk. Energies are from PBE.

Symmetry: No. 44
ΔE_f, eV/atom: -0.34

Unit cell a=3.743 b=5.942 c=6.635 alpha=116.60 beta=106.38 gamma=90.00
Fractional coordinates of all 4 atoms:
Pr (0.500, 0.428, 0.000)
Au (0.000, 0.015, 0.000)
Pr (0.292, 0.654, 0.585)
Pr (0.708, 0.069, 0.415)

Here is crystalline LiSi2Sb at its relaxed geometry from Alexandria via LeMat-Bulk. Energies are from PBE.

Symmetry: No. 123
Formation energy from raw total energies, kJ/mol of formula units: 144

Unit cell a=3.040 b=3.040 c=7.779 alpha=90.00 beta=90.00 gamma=90.03
Fractional coordinates of all 4 atoms:
Si (0.000, 0.000, 0.451)
Sb (0.500, 0.500, 0.750)
Si (0.000, 0.000, 0.049)
Li (0.500, 0.500, 0.250)

Here is crystalline Nd2HfNiS5 at its relaxed geometry from Alexandria via LeMat-Bulk. Energies are from PBE.

Symmetry: No. 36
Formation energy from raw total energies, kJ/mol of formula units: -1443

Unit cell a=3.790 b=8.522 c=11.476 alpha=90.00 beta=90.00 gamma=102.85
Fractional coordinates of all 18 atoms:
Nd (0.111, 0.223, 0.694)
Hf (0.185, 0.370, 0.013)
Nd (0.889, 0.777, 0.194)
S (0.040, 0.081, 0.044)
Ni (0.572, 0.143, 0.939)
S (0.502, 0.004, 0.277)
S (0.708, 0.416, 0.169)
S (0.653, 0.307, 0.509)
Ni (0.428, 0.857, 0.439)
Nd (0.877, 0.753, 0.820)
S (0.347, 0.693, 0.009)
S (0.960, 0.919, 0.544)
S (0.292, 0.584, 0.669)
Hf (0.815, 0.630, 0.513)
Nd (0.123, 0.247, 0.320)
S (0.306, 0.612, 0.359)
S (0.694, 0.388, 0.859)
S (0.498, 0.996, 0.777)

Here is crystalline KTl2Br at its relaxed geometry from Alexandria via LeMat-Bulk. Energies are from PBE.

Symmetry: No. 99
Formation energy from raw total energies, kJ/mol of formula units: -233

Unit cell a=4.327 b=4.327 c=7.914 alpha=90.00 beta=90.00 gamma=90.00
Fractional coordinates of all 4 atoms:
Tl (0.000, 0.000, 0.026)
Tl (0.500, 0.500, 0.200)
K (0.500, 0.500, 0.687)
Br (0.000, 0.000, 0.588)

Here is crystalline Pm3MgIn12 at its relaxed geometry from Alexandria via LeMat-Bulk. Energies are from PBE.

Symmetry: No. 123
ΔE_f, eV/atom: -0.35

Unit cell a=4.692 b=4.692 c=18.651 alpha=90.00 beta=90.00 gamma=90.00
Fractional coordinates of all 16 atoms:
In (0.500, 0.500, 0.000)
Mg (0.000, 0.000, 0.000)
In (0.000, 0.500, 0.118)
In (0.500, 0.000, 0.373)
In (0.500, 0.000, 0.882)
Pm (0.000, 0.000, 0.500)
In (0.000, 0.500, 0.882)
In (0.000, 0.500, 0.627)
In (0.500, 0.000, 0.627)
In (0.500, 0.500, 0.251)
In (0.000, 0.500, 0.373)
In (0.500, 0.500, 0.749)
In (0.500, 0.000, 0.118)
Pm (0.000, 0.000, 0.247)
Pm (0.000, 0.000, 0.753)
In (0.500, 0.500, 0.500)

Here is crystalline Zr2ScIn at its relaxed geometry from Alexandria via LeMat-Bulk. Energies are from PBE.

Symmetry: No. 123
ΔE_f, eV/atom: -0.14

Unit cell a=3.178 b=3.178 c=9.110 alpha=90.00 beta=90.00 gamma=89.99
Fractional coordinates of all 4 atoms:
Zr (0.000, 0.000, 0.494)
Zr (0.000, 0.000, 0.006)
In (0.500, 0.500, 0.250)
Sc (0.500, 0.500, 0.750)

Here is crystalline Cr5CuS8 at its relaxed geometry from Alexandria via LeMat-Bulk. Energies are from PBE.

Symmetry: No. 216
Formation energy from raw total energies, kJ/mol of formula units: -724

Unit cell a=6.831 b=6.831 c=6.831 alpha=60.00 beta=60.00 gamma=60.00
Last column: magnetic moment on the atom in μB.
Fractional coordinates of all 14 atoms:
Cr (0.604, 0.604, 0.189)  0.01
S (0.862, 0.862, 0.862)  -0.08
Cr (0.604, 0.604, 0.604)  0.01
S (0.377, 0.377, 0.377)  0.00
S (0.377, 0.868, 0.377)  0.00
S (0.377, 0.377, 0.868)  0.00
S (0.862, 0.414, 0.862)  -0.08
Cr (0.604, 0.189, 0.604)  0.01
S (0.414, 0.862, 0.862)  -0.08
Cr (0.189, 0.604, 0.604)  0.01
S (0.862, 0.862, 0.414)  -0.08
Cr (0.000, 0.000, 0.000)  2.93
S (0.868, 0.377, 0.377)  0.00
Cu (0.250, 0.250, 0.250)  -0.01

Here is crystalline TbHo3Tm at its relaxed geometry from Alexandria via LeMat-Bulk. Energies are from PBE.

Symmetry: No. 11
ΔE_f, eV/atom: 0.33

Unit cell a=3.586 b=8.385 c=11.461 alpha=90.00 beta=90.00 gamma=102.34
Fractional coordinates of all 10 atoms:
Ho (0.849, 0.198, 0.000)
Tm (0.984, 0.472, 0.250)
Ho (0.348, 0.195, 0.750)
Tb (0.313, 0.128, 0.250)
Ho (0.151, 0.802, 0.500)
Ho (0.151, 0.802, 0.000)
Tm (0.016, 0.528, 0.750)
Ho (0.849, 0.198, 0.500)
Ho (0.652, 0.805, 0.250)
Tb (0.687, 0.872, 0.750)

Here is crystalline FeCo2Os at its relaxed geometry from Alexandria via LeMat-Bulk. Energies are from PBE.

Symmetry: No. 8
ΔE_f, eV/atom: 0.12

Unit cell a=4.398 b=4.398 c=4.404 alpha=80.23 beta=80.23 gamma=34.14
Last column: magnetic moment on the atom in μB.
Fractional coordinates of all 4 atoms:
Co (0.999, 0.999, 0.997)  0.69
Co (0.251, 0.251, 0.255)  0.79
Fe (0.503, 0.503, 0.488)  2.21
Os (0.748, 0.748, 0.761)  -0.16

Here is crystalline InBi2O6 at its relaxed geometry from Alexandria via LeMat-Bulk. Energies are from PBE.

Symmetry: No. 150
Formation energy from raw total energies, kJ/mol of formula units: -912

Unit cell a=4.917 b=9.546 c=9.546 alpha=120.00 beta=90.00 gamma=90.00
Fractional coordinates of all 27 atoms:
O (0.763, 0.902, 0.124)
O (0.270, 0.442, 0.219)
O (0.763, 0.876, 0.779)
In (0.496, 0.333, 0.667)
O (0.730, 0.219, 0.442)
Bi (0.000, 0.639, 0.639)
Bi (0.000, 0.000, 0.361)
In (0.504, 0.667, 0.333)
O (0.264, 0.469, 0.889)
O (0.237, 0.779, 0.876)
O (0.736, 0.889, 0.469)
O (0.264, 0.111, 0.580)
Bi (0.500, 0.696, 0.000)
O (0.270, 0.781, 0.223)
O (0.730, 0.223, 0.781)
O (0.270, 0.777, 0.558)
Bi (0.500, 0.000, 0.696)
O (0.237, 0.124, 0.902)
In (0.000, 0.000, 0.000)
O (0.237, 0.098, 0.221)
O (0.264, 0.420, 0.531)
O (0.736, 0.580, 0.111)
O (0.736, 0.531, 0.420)
O (0.763, 0.221, 0.098)
Bi (0.000, 0.361, 0.000)
Bi (0.500, 0.304, 0.304)
O (0.730, 0.558, 0.777)

Here is crystalline Tb3Dy3Al2 at its relaxed geometry from Alexandria via LeMat-Bulk. Energies are from PBE.

Symmetry: No. 63
ΔE_f, eV/atom: -0.11

Unit cell a=5.141 b=6.361 c=15.123 alpha=90.00 beta=90.00 gamma=113.84
Fractional coordinates of all 16 atoms:
Dy (0.351, 0.702, 0.528)
Al (0.777, 0.555, 0.850)
Dy (0.649, 0.298, 0.472)
Tb (0.036, 0.071, 0.893)
Tb (0.036, 0.071, 0.607)
Tb (0.964, 0.929, 0.107)
Tb (0.964, 0.929, 0.393)
Al (0.223, 0.445, 0.150)
Dy (0.542, 0.083, 0.750)
Al (0.777, 0.555, 0.650)
Al (0.223, 0.445, 0.350)
Dy (0.458, 0.917, 0.250)
Tb (0.741, 0.483, 0.250)
Tb (0.259, 0.517, 0.750)
Dy (0.649, 0.298, 0.028)
Dy (0.351, 0.702, 0.972)

Here is crystalline Te2MoP at its relaxed geometry from Alexandria via LeMat-Bulk. Energies are from PBE.

Symmetry: No. 166
Formation energy from raw total energies, kJ/mol of formula units: 374

Unit cell a=8.975 b=8.975 c=8.975 alpha=22.96 beta=22.96 gamma=22.96
Fractional coordinates of all 4 atoms:
Te (0.902, 0.902, 0.902)
Mo (0.000, 0.000, 0.000)
Te (0.098, 0.098, 0.098)
P (0.500, 0.500, 0.500)

Here is crystalline ZnBi4O8 at its relaxed geometry from Alexandria via LeMat-Bulk. Energies are from PBE.

Symmetry: No. 166
Formation energy from raw total energies, kJ/mol of formula units: -1086

Unit cell a=6.338 b=6.338 c=6.338 alpha=68.77 beta=68.77 gamma=68.77
Fractional coordinates of all 13 atoms:
O (0.739, 0.277, 0.739)
O (0.262, 0.262, 0.262)
Zn (0.500, 0.500, 0.500)
O (0.739, 0.739, 0.277)
O (0.738, 0.738, 0.738)
O (0.261, 0.723, 0.261)
O (0.261, 0.261, 0.723)
Bi (0.000, 0.000, 0.000)
Bi (0.500, 0.000, 0.500)
Bi (0.500, 0.500, 0.000)
O (0.277, 0.739, 0.739)
Bi (0.000, 0.500, 0.500)
O (0.723, 0.261, 0.261)

Here is crystalline Zr2Cu2As at its relaxed geometry from Alexandria via LeMat-Bulk. Energies are from PBE.

Symmetry: No. 127
ΔE_f, eV/atom: -0.17

Unit cell a=7.049 b=7.049 c=3.889 alpha=90.00 beta=90.00 gamma=90.00
Fractional coordinates of all 10 atoms:
Cu (0.126, 0.626, 0.500)
Zr (0.836, 0.664, 0.000)
Cu (0.626, 0.874, 0.500)
Cu (0.874, 0.374, 0.500)
Zr (0.164, 0.336, 0.000)
Zr (0.664, 0.164, 0.000)
As (0.000, 0.000, 0.000)
As (0.500, 0.500, 0.000)
Zr (0.336, 0.836, 0.000)
Cu (0.374, 0.126, 0.500)

Here is crystalline NaCuBiSe3 at its relaxed geometry from Alexandria via LeMat-Bulk. Energies are from PBE.

Symmetry: No. 11
Formation energy from raw total energies, kJ/mol of formula units: -272

Unit cell a=4.100 b=8.793 c=9.091 alpha=100.88 beta=90.00 gamma=90.00
Fractional coordinates of all 12 atoms:
Se (0.750, 0.198, 0.504)
Cu (0.750, 0.918, 0.420)
Se (0.750, 0.896, 0.144)
Cu (0.250, 0.082, 0.580)
Bi (0.250, 0.662, 0.149)
Se (0.250, 0.581, 0.833)
Na (0.750, 0.829, 0.786)
Bi (0.750, 0.338, 0.851)
Se (0.750, 0.419, 0.167)
Na (0.250, 0.171, 0.214)
Se (0.250, 0.802, 0.496)
Se (0.250, 0.104, 0.856)

Here is crystalline CoMoRu at its relaxed geometry from Alexandria via LeMat-Bulk. Energies are from PBE.

Symmetry: No. 46
ΔE_f, eV/atom: 0.25

Unit cell a=5.908 b=7.299 c=7.299 alpha=65.18 beta=66.13 gamma=66.13
Fractional coordinates of all 18 atoms:
Ru (0.283, 0.508, 0.008)
Mo (0.232, 0.307, 0.807)
Co (0.012, 0.040, 0.168)
Co (0.494, 0.500, 0.500)
Mo (0.346, 0.693, 0.193)
Co (0.219, 0.332, 0.460)
Ru (0.776, 0.272, 0.772)
Ru (0.799, 0.492, 0.992)
Mo (0.572, 0.163, 0.191)
Ru (0.820, 0.728, 0.228)
Mo (0.572, 0.691, 0.663)
Mo (0.926, 0.837, 0.809)
Mo (0.926, 0.309, 0.337)
Co (0.494, 0.000, 0.000)
Ru (0.278, 0.932, 0.432)
Ru (0.642, 0.068, 0.568)
Co (0.219, 0.960, 0.832)
Co (0.012, 0.668, 0.540)

Here is crystalline Ca2AgP3Pt12 at its relaxed geometry from Alexandria via LeMat-Bulk. Energies are from PBE.

Symmetry: No. 166
ΔE_f, eV/atom: -0.27

Unit cell a=7.523 b=7.523 c=7.523 alpha=67.41 beta=67.41 gamma=67.41
Fractional coordinates of all 18 atoms:
P (0.000, 0.000, 0.500)
Pt (0.136, 0.136, 0.615)
Pt (0.341, 0.899, 0.341)
Pt (0.899, 0.341, 0.341)
Pt (0.864, 0.385, 0.864)
Pt (0.101, 0.659, 0.659)
Pt (0.136, 0.615, 0.136)
Ca (0.397, 0.397, 0.397)
P (0.000, 0.500, 0.000)
Pt (0.864, 0.864, 0.385)
Ag (0.000, 0.000, 0.000)
P (0.500, 0.000, 0.000)
Pt (0.659, 0.101, 0.659)
Pt (0.659, 0.659, 0.101)
Pt (0.615, 0.136, 0.136)
Ca (0.603, 0.603, 0.603)
Pt (0.341, 0.341, 0.899)
Pt (0.385, 0.864, 0.864)

Here is crystalline Tb2Pm6YHo at its relaxed geometry from Alexandria via LeMat-Bulk. Energies are from PBE.

Symmetry: No. 15
ΔE_f, eV/atom: 0.11

Unit cell a=9.665 b=8.945 c=8.945 alpha=118.17 beta=93.86 gamma=93.86
Fractional coordinates of all 20 atoms:
Tb (0.956, 0.698, 0.801)
Pm (0.187, 0.567, 0.014)
Pm (0.619, 0.496, 0.710)
Y (0.750, 0.025, 0.975)
Tb (0.456, 0.801, 0.698)
Pm (0.313, 0.986, 0.433)
Pm (0.446, 0.241, 0.878)
Ho (0.750, 0.590, 0.410)
Tb (0.544, 0.199, 0.302)
Pm (0.554, 0.759, 0.122)
Pm (0.813, 0.433, 0.986)
Pm (0.381, 0.504, 0.290)
Pm (0.881, 0.290, 0.504)
Pm (0.119, 0.710, 0.496)
Pm (0.054, 0.122, 0.759)
Pm (0.687, 0.014, 0.567)
Y (0.250, 0.975, 0.025)
Ho (0.250, 0.410, 0.590)
Tb (0.044, 0.302, 0.199)
Pm (0.946, 0.878, 0.241)

Here is crystalline Cs6K2Au3F at its relaxed geometry from Alexandria via LeMat-Bulk. Energies are from PBE.

Symmetry: No. 12
Formation energy from raw total energies, kJ/mol of formula units: -664

Unit cell a=8.309 b=9.703 c=9.829 alpha=119.58 beta=91.54 gamma=90.00
Fractional coordinates of all 12 atoms:
Cs (0.273, 0.686, 0.848)
Au (0.500, 0.500, 0.500)
K (0.243, 0.671, 0.342)
Cs (0.273, 0.163, 0.848)
Cs (0.727, 0.314, 0.152)
Cs (0.714, 0.855, 0.710)
F (0.500, 0.000, 0.000)
K (0.757, 0.329, 0.658)
Cs (0.727, 0.837, 0.152)
Au (0.500, 0.000, 0.500)
Cs (0.286, 0.145, 0.290)
Au (0.000, 0.500, 0.000)

Here is crystalline TbY2PaS4 at its relaxed geometry from Alexandria via LeMat-Bulk. Energies are from PBE.

Symmetry: No. 10
Formation energy from raw total energies, kJ/mol of formula units: -1453

Unit cell a=3.883 b=6.782 c=6.799 alpha=109.03 beta=90.00 gamma=90.00
Fractional coordinates of all 8 atoms:
S (0.000, 0.751, 0.252)
S (0.500, 0.251, 0.251)
Y (0.000, 0.500, 0.500)
S (0.000, 0.249, 0.748)
Tb (0.000, 0.000, 0.000)
Y (0.500, 0.000, 0.500)
Pa (0.500, 0.500, 0.000)
S (0.500, 0.749, 0.749)

So what do the calculations give for total moment? Going down the list: 0.82, 0.00, 0.00, 0.00, 0.00, 0.00, 0.00, 2.96, 0.00, 3.51, 0.00, 0.00, 0.00, 0.00, 0.00, 0.00, 0.00, 0.00, 0.00, 0.28, 0.00 μB per cell.
So what do the calculations give for density? Going down the list: 11.4, 8.2, 4.3, 6.3, 5.9, 7.4, 6.2, 4.3, 8.1, 12.8, 8.1, 7.5, 6.6, 8.0, 6.6, 5.5, 10.2, 12.5, 7.1, 3.6, 6.8 g/cm³.
So what do the calculations give for E_tot? Going down the list: -10.012, -4.744, -3.848, -6.763, -2.479, -3.390, -6.684, -6.624, -4.238, -8.359, -5.523, -4.510, -4.662, -5.210, -6.153, -3.762, -8.816, -5.575, -4.767, -2.159, -7.328 eV/atom.